# 1
# Sm4AgTe3

A geometry-optimized Sm4AgTe3 structure (PBE-GGA, Alexandria via LeMat-Bulk).

abc: 7.703 7.703 4.328
angles: 90.00 90.00 108.51
Fractional coordinates of all 8 atoms:
Sm (0.240, 0.240, 0.500)
Sm (0.247, 0.753, 0.000)
Sm (0.753, 0.247, 0.000)
Sm (0.760, 0.760, 0.500)
Ag (0.000, 0.000, 0.000)
Te (0.000, 0.500, 0.500)
Te (0.500, 0.000, 0.500)
Te (0.500, 0.500, 0.000)

Formation energy (no corrections), eV/atom: -1.09
Size of the total moment, μB per formula unit: 0.00


# 2
# Ho3Hf

A geometry-optimized Ho3Hf structure (PBE-GGA, Alexandria via LeMat-Bulk).

abc: 3.310 3.316 10.749
angles: 90.00 90.00 90.00
Fractional coordinates of all 4 atoms:
Ho (0.000, 0.000, 0.000)
Ho (0.000, 0.500, 0.291)
Ho (0.500, 0.500, 0.758)
Hf (0.500, 0.000, 0.496)

Size of the total moment, μB per formula unit: 0.00
Energy of formation from the pure elements, eV per atom: 0.281
Excess energy over the best structure of this formula in the dataset, meV/atom: 176.5


Q: Number 1 is which compound?
A: Sm4AgTe3


Q: size of the total moment of number 1 (Sm4AgTe3)?
A: 0.00 μB per formula unit